VASP calculation (PBE-GGA) on a relaxed CePm3Pr3 crystal.

Cell lengths 8.2954, 8.2954, 7.2802 Å; angles 90.00, 90.00, 88.70 degrees
Positions (direct):
Ce (0.2831, 0.2831, 0.9992)
Ce (0.7169, 0.7169, 0.0008)
Pm (0.9996, 0.9996, 0.7539)
Pm (0.4993, 0.0006, 0.2428)
Pm (0.0006, 0.4993, 0.2428)
Pm (0.5007, 0.9994, 0.7572)
Pm (0.9994, 0.5007, 0.7572)
Pm (0.0004, 0.0004, 0.2461)
Pr (0.2753, 0.2753, 0.5010)
Pr (0.2930, 0.7070, 0.5000)
Pr (0.7070, 0.2930, 0.5000)
Pr (0.2938, 0.7062, 0.0000)
Pr (0.7062, 0.2938, 0.0000)
Pr (0.7247, 0.7247, 0.4990)

DFT total energy in eV per atom: -4.74
V in Å³/atom: 35.8
Formation enthalpy at 0 K in eV per atom: 0.19